(1)
Below is crystalline NdErSc4 at its relaxed geometry, with properties calculated at the PBE level.

Cell and atoms, written as CIF:
```
data_NdErSc4
_chemical_formula_sum 'Nd4 Er4 Sc16'
_cell_length_a 6.555
_cell_length_b 18.531
_cell_length_c 5.338
_cell_angle_alpha 90.00
_cell_angle_beta 90.00
_cell_angle_gamma 90.00
_space_group_name_H-M_alt 'C m c m'
_space_group_IT_number 63
_space_group_name_Hall '-C 2c 2'
loop_
_atom_site_label
_atom_site_type_symbol
_atom_site_fract_x
_atom_site_fract_y
_atom_site_fract_z
_atom_site_occupancy
Nd1 Nd 0.000 0.123 0.250 1
Er1 Er 0.000 0.373 0.750 1
Sc1 Sc 0.245 0.458 0.250 1
Sc2 Sc 0.249 0.291 0.250 1
```

Uncorrected energy in eV per atom: -5.71
Crystal system: orthorhombic
ΔE_f in meV per atom: 66.5
DOS(E_F) in states/eV/cell: 40.7

(2)
Below is crystalline Cs2KHg2 at its relaxed geometry, with properties calculated at the PBE level.

Cell and atoms, written as CIF:
```
data_Cs2KHg2
_chemical_formula_sum 'Cs4 K2 Hg4'
_cell_length_a 13.195
_cell_length_b 8.103
_cell_length_c 5.496
_cell_angle_alpha 90.00
_cell_angle_beta 114.53
_cell_angle_gamma 90.00
_space_group_name_H-M_alt 'C 1 2/m 1'
_space_group_IT_number 12
loop_
_space_group_symop_operation_xyz
'x,y,z'
'-x,-y,-z'
'-x,y,-z'
'x,-y,z'
'x+1/2,y+1/2,z'
'-x+1/2,-y+1/2,-z'
'-x+1/2,y+1/2,-z'
'x+1/2,-y+1/2,z'
loop_
_atom_site_label
_atom_site_type_symbol
_atom_site_fract_x
_atom_site_fract_y
_atom_site_fract_z
_atom_site_occupancy
Cs1 Cs 0.202 0.000 0.202 1
K1 K 0.000 0.500 0.000 1
Hg1 Hg 0.000 0.194 0.500 1
```

Uncorrected energy in eV per atom: -0.88
Crystal system: monoclinic
ΔE_f in meV per atom: -193.5
DOS(E_F) in states/eV/cell: 6.5

(3)
Below is crystalline Sc12Cd3In at its relaxed geometry, with properties calculated at the PBE level.

Cell and atoms, written as CIF:
```
data_Sc12Cd3In
_chemical_formula_sum 'Sc12 Cd3 In1'
_cell_length_a 4.513
_cell_length_b 4.513
_cell_length_c 18.063
_cell_angle_alpha 90.00
_cell_angle_beta 90.00
_cell_angle_gamma 90.00
_space_group_name_H-M_alt 'P 4/m m m'
_space_group_IT_number 123
_space_group_name_Hall '-P 4 2'
loop_
_atom_site_label
_atom_site_type_symbol
_atom_site_fract_x
_atom_site_fract_y
_atom_site_fract_z
_atom_site_occupancy
Sc1 Sc 0.000 0.000 0.000 1
Sc2 Sc 0.000 0.000 0.250 1
Sc3 Sc 0.000 0.000 0.500 1
Sc4 Sc 0.000 0.500 0.125 1
Sc5 Sc 0.000 0.500 0.375 1
Cd1 Cd 0.500 0.500 0.000 1
Cd2 Cd 0.500 0.500 0.250 1
In1 In 0.500 0.500 0.500 1
```

Uncorrected energy in eV per atom: -5.26
Crystal system: tetragonal
ΔE_f in meV per atom: -164.2
DOS(E_F) in states/eV/cell: 22.1

(4)
Below is crystalline LiNiH4Pd at its relaxed geometry, with properties calculated at the PBE level.

Cell and atoms, written as CIF:
```
data_LiNiH4Pd
_chemical_formula_sum 'Li4 Ni4 H16 Pd4'
_cell_length_a 5.222
_cell_length_b 5.709
_cell_length_c 7.755
_cell_angle_alpha 90.00
_cell_angle_beta 90.00
_cell_angle_gamma 90.00
_space_group_name_H-M_alt 'I m m a'
_space_group_IT_number 74
_space_group_name_Hall '-I 2b 2'
loop_
_atom_site_label
_atom_site_type_symbol
_atom_site_fract_x
_atom_site_fract_y
_atom_site_fract_z
_atom_site_occupancy
Li1 Li 0.000 0.250 0.131 1
Ni1 Ni 0.250 0.250 0.750 1
H1 H 0.000 0.060 0.743 1
H2 H 0.226 0.250 0.535 1
Pd1 Pd 0.000 0.000 0.500 1
```

Uncorrected energy in eV per atom: -3.95
Crystal system: orthorhombic
DOS(E_F) in states/eV/cell: 3.1